(1)
Entry from Alexandria: a geometry-optimized ScVFe structure (PBE-GGA).

Summary:
Formation enthalpy at 0 K, eV/atom: -0.13
Density of states at the Fermi level, states/eV per atom: 0.879
Spin magnetization, μB per cell: 0.48
E above lowest polymorph, eV per formula unit: 0.000

a b c (Å): 5.1336 5.1602 6.8519
angles (deg): 90.00 90.00 90.00
Space group Imma (No. 74)
Inequivalent atoms, fractional coordinates:
1 Sc 0.0000 0.2500 0.1312
2 V 0.2500 0.2500 0.7500
3 Fe 0.0000 0.0000 0.5000

***

(2)
Entry from Alexandria: a geometry-optimized Sc3VFe structure (PBE-GGA).

Summary:
Formation enthalpy at 0 K, eV/atom: 0.38
Density of states at the Fermi level, states/eV per atom: 1.129
Spin magnetization, μB per cell: 3.75
E above lowest polymorph, eV per formula unit: 0.000

a b c (Å): 4.7872 4.7872 4.7872
angles (deg): 90.00 90.00 90.00
Space group Pm-3m (No. 221)
Inequivalent atoms, fractional coordinates:
1 Sc 0.0000 0.0000 0.5000
2 V 0.5000 0.5000 0.5000
3 Fe 0.0000 0.0000 0.0000

***

(3)
Entry from Alexandria: a geometry-optimized ScV2Fe structure (PBE-GGA).

Summary:
Formation enthalpy at 0 K, eV/atom: 0.24
Density of states at the Fermi level, states/eV per atom: 1.561
Spin magnetization, μB per cell: 3.85
E above lowest polymorph, eV per formula unit: 0.000

a b c (Å): 6.0809 6.0809 6.0809
angles (deg): 90.00 90.00 90.00
Space group Fm-3m (No. 225)
Inequivalent atoms, fractional coordinates:
1 Sc 0.0000 0.0000 0.0000
2 V 0.2500 0.2500 0.2500
3 Fe 0.0000 0.0000 0.5000

***

(4)
Entry from Alexandria: a geometry-optimized ScV2Fe3 structure (PBE-GGA).

Summary:
Formation enthalpy at 0 K, eV/atom: -0.09
Density of states at the Fermi level, states/eV per atom: 0.572
Spin magnetization, μB per cell: 0.76

a b c (Å): 5.0867 5.0867 3.6821
angles (deg): 90.00 90.00 120.00
Space group P6/mmm (No. 191)
Inequivalent atoms, fractional coordinates:
1 Sc 0.0000 0.0000 0.0000
2 V 0.3333 0.6667 0.0000
3 Fe 0.0000 0.5000 0.5000

***

(5)
Entry from Alexandria: a geometry-optimized ScV2Fe9 structure (PBE-GGA).

Summary:
Formation enthalpy at 0 K, eV/atom: -0.06
Density of states at the Fermi level, states/eV per atom: 1.195
Spin magnetization, μB per cell: 35.00

a b c (Å): 4.7303 4.7303 23.3146
angles (deg): 90.00 90.00 120.00
Space group R-3m (No. 166, hexagonal axes)
Inequivalent atoms, fractional coordinates:
1 Sc 0.0000 0.0000 0.0000
2 V 0.0000 0.0000 0.1430
3 Fe 0.0000 0.0000 0.3336
4 Fe 0.0000 0.0000 0.5000
5 Fe 0.0055 0.5027 0.9128

***

(6)
Entry from Alexandria: a geometry-optimized ScVFeW2 structure (PBE-GGA).

Summary:
Formation enthalpy at 0 K, eV/atom: 2.49
Density of states at the Fermi level, states/eV per atom: 1.606
Spin magnetization, μB per cell: 0.13

a b c (Å): 4.6428 4.6428 4.1135
angles (deg): 90.00 90.00 90.00
Space group P4/mmm (No. 123)
Inequivalent atoms, fractional coordinates:
1 Sc 0.0000 0.0000 0.0000
2 V 0.0000 0.0000 0.5000
3 Fe 0.5000 0.5000 0.5000
4 W 0.0000 0.5000 0.0000

***

(7)
Entry from Alexandria: a geometry-optimized ScFeW2 structure (PBE-GGA).

Summary:
Formation enthalpy at 0 K, eV/atom: 0.26
Density of states at the Fermi level, states/eV per atom: 1.394
Spin magnetization, μB per cell: 0.00
E above lowest polymorph, eV per formula unit: 0.612

a b c (Å): 3.7559 4.1610 8.1248
angles (deg): 90.00 90.00 90.00
Space group Cmmm (No. 65)
Inequivalent atoms, fractional coordinates:
1 Sc 0.0000 0.0000 0.0000
2 Fe 0.0000 0.0000 0.5000
3 W 0.0000 0.5000 0.2902

***

(8)
Entry from Alexandria: a geometry-optimized ScFeW2 structure (PBE-GGA).

Summary:
Formation enthalpy at 0 K, eV/atom: 0.47
Density of states at the Fermi level, states/eV per atom: 0.825
Spin magnetization, μB per cell: 0.01
E above lowest polymorph, eV per formula unit: 1.419

a b c (Å): 6.2303 6.2303 6.2303
angles (deg): 90.00 90.00 90.00
Space group Fm-3m (No. 225)
Inequivalent atoms, fractional coordinates:
1 Sc 0.0000 0.0000 0.0000
2 Fe 0.0000 0.0000 0.5000
3 W 0.2500 0.2500 0.2500

***

(9)
Entry from Alexandria: a geometry-optimized ScFeW2 structure (PBE-GGA).

Summary:
Formation enthalpy at 0 K, eV/atom: 0.39
Density of states at the Fermi level, states/eV per atom: 1.051
Spin magnetization, μB per cell: 3.62
E above lowest polymorph, eV per formula unit: 1.119

a b c (Å): 2.9032 2.9032 26.6507
angles (deg): 90.00 90.00 120.00
Space group R3m (No. 160, hexagonal axes)
Inequivalent atoms, fractional coordinates:
1 Sc 0.0000 0.0000 0.0000
2 Fe 0.0000 0.0000 0.2516
3 W 0.0000 0.0000 0.5144
4 W 0.0000 0.0000 0.7599

***

(10)
Entry from Alexandria: a geometry-optimized ScFeW3 structure (PBE-GGA).

Summary:
Formation enthalpy at 0 K, eV/atom: 2.79
Density of states at the Fermi level, states/eV per atom: 1.856
Spin magnetization, μB per cell: 0.00
E above lowest polymorph, eV per formula unit: 8.801

a b c (Å): 4.5350 4.5350 4.5350
angles (deg): 90.00 90.00 90.00
Space group Pm-3m (No. 221)
Inequivalent atoms, fractional coordinates:
1 Sc 0.0000 0.0000 0.0000
2 Fe 0.5000 0.5000 0.5000
3 W 0.0000 0.0000 0.5000

***

(11)
Entry from Alexandria: a geometry-optimized ScFeW2 structure (PBE-GGA).

Summary:
Formation enthalpy at 0 K, eV/atom: 0.17
Density of states at the Fermi level, states/eV per atom: 0.902
Spin magnetization, μB per cell: 2.90
E above lowest polymorph, eV per formula unit: 0.253

a b c (Å): 3.2437 4.4622 8.8051
angles (deg): 90.00 90.00 90.00
Space group Cmm2 (No. 35)
Inequivalent atoms, fractional coordinates:
1 Sc 0.0000 0.0000 0.0000
2 Fe 0.0000 0.5000 0.7556
3 W 0.0000 0.0000 0.5329
4 W 0.0000 0.5000 0.2791

***

(12)
Entry from Alexandria: a geometry-optimized ScFeW2 structure (PBE-GGA).

Summary:
Formation enthalpy at 0 K, eV/atom: 0.14
Density of states at the Fermi level, states/eV per atom: 0.936
Spin magnetization, μB per cell: 0.66
E above lowest polymorph, eV per formula unit: 0.102

a b c (Å): 3.1455 3.1455 6.4443
angles (deg): 90.00 90.00 90.00
Space group P4mm (No. 99)
Inequivalent atoms, fractional coordinates:
1 Sc 0.0000 0.0000 0.0000
2 Fe 0.5000 0.5000 0.7356
3 W 0.0000 0.0000 0.5200
4 W 0.5000 0.5000 0.2827